No. 1
Material: Pm3NdMg
Method: DFT, PBE-GGA
State: relaxed

Calculated values
DFT total energy = -3.94 eV per atom
D(E_F) = 1.20 states/eV per atom
Calculated formation energy = 0.90 eV/f.u.

a = 3.799 Å, b = 9.668 Å, c = 9.723 Å
α = 90.00°, β = 90.00°, γ = 101.41°
Element x y z (fractional)
Pm 0.901 0.301 0.996
Pm 0.099 0.699 0.004
Pm 0.901 0.301 0.504
Pm 0.099 0.699 0.496
Pm 0.697 0.894 0.750
Pm 0.303 0.106 0.250
Nd 0.510 0.520 0.750
Nd 0.490 0.480 0.250
Mg 0.334 0.167 0.750
Mg 0.666 0.833 0.250

No. 2
Material: SrBeNi2
Method: DFT, PBE-GGA
State: relaxed

Calculated values
DFT total energy = -3.66 eV per atom
D(E_F) = 0.88 states/eV per atom
Calculated formation energy = 2.34 eV/f.u.

a = 4.517 Å, b = 4.517 Å, c = 4.517 Å
α = 60.00°, β = 60.00°, γ = 60.00°
Element x y z (fractional)
Sr 0.750 0.750 0.750
Be 0.500 0.500 0.500
Ni 0.000 0.000 0.000
Ni 0.250 0.250 0.250

No. 3
Material: TbPr3Sm2Y6
Method: DFT, PBE-GGA
State: relaxed

Calculated values
DFT total energy = -5.59 eV per atom
D(E_F) = 1.26 states/eV per atom
Calculated formation energy = 0.15 eV/f.u.

a = 6.275 Å, b = 6.275 Å, c = 11.897 Å
α = 95.03°, β = 95.03°, γ = 119.99°
Element x y z (fractional)
Tb 0.000 0.000 0.000
Pr 0.167 0.833 0.500
Pr 0.833 0.167 0.500
Pr 0.500 0.500 0.500
Sm 0.333 0.667 0.000
Sm 0.667 0.333 0.000
Y 0.918 0.584 0.753
Y 0.749 0.749 0.248
Y 0.082 0.416 0.247
Y 0.584 0.918 0.753
Y 0.251 0.251 0.752
Y 0.416 0.082 0.247

No. 4
Material: Sn4BiTe7
Method: DFT, PBE-GGA
State: relaxed

Calculated values
ΔE_f (raw) = -0.22 eV per atom
DFT total energy = -3.71 eV per atom
D(E_F) = 0.40 states/eV per atom

a = 4.358 Å, b = 4.358 Å, c = 24.383 Å
α = 90.00°, β = 90.00°, γ = 120.00°
Element x y z (fractional)
Sn 0.667 0.333 0.080
Sn 0.333 0.667 0.920
Sn 0.667 0.333 0.332
Sn 0.333 0.667 0.668
Bi 0.000 0.000 0.500
Te 0.000 0.000 0.000
Te 0.667 0.333 0.579
Te 0.333 0.667 0.421
Te 0.667 0.333 0.852
Te 0.333 0.667 0.148
Te 0.000 0.000 0.265
Te 0.000 0.000 0.735

No. 5
Material: Pm4SmTm8
Method: DFT, PBE-GGA
State: relaxed

Calculated values
DFT total energy = -4.37 eV per atom
D(E_F) = 1.31 states/eV per atom
Calculated formation energy = 2.73 eV/f.u.

a = 7.349 Å, b = 7.349 Å, c = 9.844 Å
α = 90.00°, β = 111.92°, γ = 120.00°
Element x y z (fractional)
Pm 0.000 0.000 0.000
Pm 0.000 0.500 0.000
Pm 0.500 0.500 0.000
Pm 0.500 0.000 0.000
Sm 0.000 0.500 0.500
Tm 0.563 0.782 0.345
Tm 0.437 0.218 0.655
Tm 0.501 0.251 0.314
Tm 0.936 0.187 0.686
Tm 0.499 0.749 0.686
Tm 0.936 0.749 0.686
Tm 0.064 0.251 0.314
Tm 0.064 0.813 0.314

No. 6
Material: ZrTeN2Cl
Method: DFT, PBE-GGA
State: relaxed

Calculated values
ΔE_f (raw) = 1.66 eV per atom
DFT total energy = -4.38 eV per atom
D(E_F) = 0.56 states/eV per atom

a = 4.125 Å, b = 4.125 Å, c = 4.956 Å
α = 90.00°, β = 90.00°, γ = 90.00°
Element x y z (fractional)
N 0.000 0.500 0.000
N 0.500 0.000 0.000
Te 0.000 0.000 0.500
Zr 0.500 0.500 0.500
Cl 0.000 0.000 0.000

No. 7
Material: Na2NdAg
Method: DFT, PBE-GGA
State: relaxed

Calculated values
DFT total energy = -2.36 eV per atom
D(E_F) = 0.87 states/eV per atom
Calculated formation energy = 0.81 eV/f.u.

a = 3.360 Å, b = 3.360 Å, c = 11.948 Å
α = 81.92°, β = 81.92°, γ = 60.00°
Element x y z (fractional)
Na 0.098 0.098 0.707
Na 0.902 0.902 0.293
Nd 0.000 0.000 0.000
Ag 0.500 0.500 0.500

No. 8
Material: CaSnI2N
Method: DFT, PBE-GGA
State: relaxed

Calculated values
ΔE_f (raw) = -0.01 eV per atom
DFT total energy = -3.50 eV per atom
D(E_F) = 0.32 states/eV per atom

a = 6.289 Å, b = 6.289 Å, c = 3.986 Å
α = 90.00°, β = 90.00°, γ = 90.00°
Element x y z (fractional)
I 0.000 0.500 0.000
I 0.500 0.000 0.000
Ca 0.500 0.500 0.500
Sn 0.000 0.000 0.000
N 0.000 0.000 0.500

No. 9
Material: ZrAgRu2
Method: DFT, PBE-GGA
State: relaxed

Calculated values
DFT total energy = -7.39 eV per atom
D(E_F) = 1.09 states/eV per atom
Calculated formation energy = 0.38 eV/f.u.

a = 5.397 Å, b = 5.397 Å, c = 5.397 Å
α = 145.18°, β = 130.89°, γ = 61.60°
Element x y z (fractional)
Ag 0.242 0.742 0.500
Ru 0.986 0.986 0.000
Ru 0.760 0.260 0.500
Zr 0.513 0.513 0.000

No. 10
Material: Ce2ThNiS5
Method: DFT, PBE-GGA
State: relaxed

Calculated values
ΔE_f (raw) = -1.74 eV per atom
DFT total energy = -6.82 eV per atom
D(E_F) = 1.26 states/eV per atom

a = 3.859 Å, b = 8.573 Å, c = 12.000 Å
α = 90.00°, β = 90.00°, γ = 103.01°
Site moments in Bohr magnetons follow the coordinates.
Element x y z (fractional)
Ce 0.890 0.780 0.852  0.75
Ce 0.113 0.226 0.696  0.78
Ce 0.110 0.220 0.352  0.75
Ce 0.887 0.774 0.196  0.78
Th 0.825 0.651 0.527  0.02
Th 0.175 0.349 0.027  0.02
Ni 0.552 0.103 0.916  -0.10
Ni 0.448 0.897 0.416  -0.10
S 0.343 0.686 0.022  -0.02
S 0.680 0.359 0.856  -0.01
S 0.493 0.986 0.750  -0.03
S 0.302 0.605 0.697  -0.01
S 0.988 0.977 0.508  -0.02
S 0.657 0.314 0.522  -0.02
S 0.320 0.641 0.356  -0.01
S 0.507 0.014 0.250  -0.03
S 0.698 0.395 0.197  -0.01
S 0.012 0.023 0.008  -0.02

No. 11
Material: PuMgSe
Method: DFT, PBE-GGA
State: relaxed

Calculated values
ΔE_f (raw) = -0.68 eV per atom
DFT total energy = -7.15 eV per atom
D(E_F) = 3.05 states/eV per atom

a = 3.614 Å, b = 5.522 Å, c = 9.671 Å
α = 118.12°, β = 90.00°, γ = 109.10°
Site moments in Bohr magnetons follow the coordinates.
Element x y z (fractional)
Se 0.943 0.886 0.674  -0.07
Se 0.057 0.114 0.326  -0.07
Mg 0.398 0.795 0.076  0.00
Mg 0.602 0.205 0.924  0.00
Pu 0.781 0.562 0.329  5.64
Pu 0.219 0.438 0.671  5.64

No. 12
Material: LiTlAs2
Method: DFT, PBE-GGA
State: relaxed

Calculated values
DFT total energy = -3.59 eV per atom
D(E_F) = 0.14 states/eV per atom
Calculated formation energy = -0.79 eV/f.u.

a = 4.109 Å, b = 3.078 Å, c = 7.673 Å
α = 66.28°, β = 90.00°, γ = 90.00°
Element x y z (fractional)
Tl 0.500 0.750 0.750
As 0.000 0.926 0.075
As 0.000 0.574 0.425
Li 0.500 0.250 0.250

No. 13
Material: CsYSi
Method: DFT, PBE-GGA
State: relaxed

Calculated values
ΔE_f (raw) = -0.06 eV per atom
DFT total energy = -4.30 eV per atom
D(E_F) = 0.00 states/eV per atom

a = 9.203 Å, b = 5.217 Å, c = 8.359 Å
α = 90.00°, β = 90.00°, γ = 90.00°
Element x y z (fractional)
Cs 0.002 0.250 0.853
Cs 0.498 0.750 0.353
Cs 0.998 0.750 0.147
Cs 0.502 0.250 0.647
Y 0.858 0.250 0.424
Y 0.642 0.750 0.924
Y 0.142 0.750 0.576
Y 0.358 0.250 0.076
Si 0.171 0.250 0.388
Si 0.329 0.750 0.888
Si 0.829 0.750 0.612
Si 0.671 0.250 0.112

No. 14
Material: ThCo4P4
Method: DFT, PBE-GGA
State: relaxed

Calculated values
DFT total energy = -7.04 eV per atom
D(E_F) = 0.26 states/eV per atom
Calculated formation energy = -5.90 eV/f.u.

a = 4.366 Å, b = 7.585 Å, c = 7.585 Å
α = 90.00°, β = 90.00°, γ = 90.00°
Element x y z (fractional)
Th 0.000 0.000 0.000
Th 0.500 0.500 0.500
Co 0.500 0.392 0.873
Co 0.000 0.627 0.892
Co 0.500 0.608 0.127
Co 0.000 0.108 0.627
Co 0.500 0.873 0.608
Co 0.000 0.892 0.373
Co 0.000 0.373 0.108
Co 0.500 0.127 0.392
P 0.500 0.848 0.299
P 0.500 0.152 0.701
P 0.000 0.799 0.652
P 0.000 0.348 0.799
P 0.000 0.652 0.201
P 0.500 0.299 0.152
P 0.500 0.701 0.848
P 0.000 0.201 0.348

No. 15
Material: Sr2I2Br
Method: DFT, PBE-GGA
State: relaxed

Calculated values
ΔE_f (raw) = -1.51 eV per atom
DFT total energy = -3.14 eV per atom
D(E_F) = 0.33 states/eV per atom

a = 8.625 Å, b = 8.625 Å, c = 5.080 Å
α = 90.00°, β = 90.00°, γ = 90.00°
Site moments in Bohr magnetons follow the coordinates.
Element x y z (fractional)
I 0.155 0.655 0.500  0.02
I 0.655 0.845 0.500  0.01
I 0.845 0.345 0.500  0.01
I 0.345 0.155 0.500  0.01
Sr 0.337 0.837 0.000  0.08
Sr 0.837 0.663 0.000  0.08
Sr 0.663 0.163 0.000  0.08
Sr 0.163 0.337 0.000  0.08
Br 0.000 0.000 0.000  0.00
Br 0.500 0.500 0.000  0.00

No. 16
Material: TbPm3Dy7
Method: DFT, PBE-GGA
State: relaxed

Calculated values
DFT total energy = -4.50 eV per atom
D(E_F) = 1.51 states/eV per atom
Calculated formation energy = 1.57 eV/f.u.

a = 5.540 Å, b = 10.065 Å, c = 8.895 Å
α = 106.10°, β = 128.50°, γ = 90.00°
Element x y z (fractional)
Tb 0.500 0.500 0.500
Pm 0.283 0.002 0.784
Pm 0.000 0.500 0.000
Pm 0.717 0.998 0.216
Dy 0.910 0.829 0.910
Dy 0.857 0.711 0.357
Dy 0.683 0.362 0.183
Dy 0.317 0.638 0.817
Dy 0.500 0.000 0.500
Dy 0.143 0.289 0.643
Dy 0.090 0.171 0.090

No. 17
Material: Mg3SiBr
Method: DFT, PBE-GGA
State: relaxed

Calculated values
ΔE_f (raw) = -0.13 eV per atom
DFT total energy = -2.50 eV per atom
D(E_F) = 0.62 states/eV per atom

a = 5.115 Å, b = 5.115 Å, c = 5.115 Å
α = 90.00°, β = 90.00°, γ = 90.00°
Element x y z (fractional)
Si 0.000 0.000 0.000
Mg 0.000 0.500 0.000
Mg 0.000 0.000 0.500
Mg 0.500 0.000 0.000
Br 0.500 0.500 0.500

No. 18
Material: BaAgGe
Method: DFT, PBE-GGA
State: relaxed

Calculated values
DFT total energy = -3.54 eV per atom
D(E_F) = 0.37 states/eV per atom
Calculated formation energy = -1.22 eV/f.u.

a = 4.811 Å, b = 4.391 Å, c = 8.451 Å
α = 90.00°, β = 90.00°, γ = 90.00°
Element x y z (fractional)
Ba 0.312 0.716 0.130
Ba 0.312 0.216 0.662
Ag 0.812 0.216 0.297
Ag 0.812 0.716 0.496
Ge 0.811 0.216 0.980
Ge 0.811 0.716 0.813

No. 19
Material: Cd5PbAu6
Method: DFT, PBE-GGA
State: relaxed

Calculated values
DFT total energy = -2.45 eV per atom
D(E_F) = 0.31 states/eV per atom
Calculated formation energy = -1.39 eV/f.u.

a = 4.999 Å, b = 8.885 Å, c = 8.885 Å
α = 126.59°, β = 106.43°, γ = 106.43°
Element x y z (fractional)
Pb 0.000 0.000 0.000
Au 0.254 0.077 0.430
Au 0.746 0.570 0.923
Au 0.764 0.264 0.264
Au 0.236 0.736 0.736
Au 0.254 0.430 0.077
Au 0.746 0.923 0.570
Cd 0.500 0.162 0.838
Cd 0.000 0.336 0.664
Cd 0.500 0.500 0.500
Cd 0.000 0.664 0.336
Cd 0.500 0.838 0.162

No. 20
Material: InRe4Cl
Method: DFT, PBE-GGA
State: relaxed

Calculated values
ΔE_f (raw) = 1.09 eV per atom
DFT total energy = -7.98 eV per atom
D(E_F) = 0.95 states/eV per atom

a = 5.322 Å, b = 5.322 Å, c = 5.322 Å
α = 60.00°, β = 60.00°, γ = 60.00°
Element x y z (fractional)
In 0.000 0.000 0.000
Re 0.871 0.376 0.376
Re 0.376 0.376 0.871
Re 0.376 0.871 0.376
Re 0.376 0.376 0.376
Cl 0.750 0.750 0.750

No. 21
Material: Y2HfSe
Method: DFT, PBE-GGA
State: relaxed

Calculated values
ΔE_f (raw) = -0.29 eV per atom
DFT total energy = -6.88 eV per atom
D(E_F) = 0.89 states/eV per atom

a = 3.594 Å, b = 3.594 Å, c = 10.108 Å
α = 79.76°, β = 79.76°, γ = 60.00°
Site moments in Bohr magnetons follow the coordinates.
Element x y z (fractional)
Y 0.103 0.103 0.691  0.13
Y 0.897 0.897 0.309  0.13
Hf 0.000 0.000 0.000  0.63
Se 0.500 0.500 0.500  0.00

No. 22
Material: CdGa3Pt3
Method: DFT, PBE-GGA
State: relaxed

Calculated values
DFT total energy = -4.12 eV per atom
D(E_F) = 0.55 states/eV per atom
Calculated formation energy = -0.71 eV/f.u.

a = 6.910 Å, b = 6.910 Å, c = 6.910 Å
α = 90.00°, β = 90.00°, γ = 90.00°
Element x y z (fractional)
Ga 0.250 0.000 0.500
Ga 0.000 0.500 0.250
Ga 0.500 0.750 0.000
Ga 0.750 0.000 0.500
Ga 0.000 0.500 0.750
Ga 0.500 0.250 0.000
Pt 0.000 0.250 0.500
Pt 0.000 0.750 0.500
Pt 0.500 0.000 0.750
Pt 0.750 0.500 0.000
Pt 0.500 0.000 0.250
Pt 0.250 0.500 0.000
Cd 0.500 0.500 0.500
Cd 0.000 0.000 0.000

No. 23
Material: SmTh8
Method: DFT, PBE-GGA
State: relaxed

Calculated values
DFT total energy = -7.01 eV per atom
D(E_F) = 1.81 states/eV per atom
Calculated formation energy = 1.00 eV/f.u.

a = 3.575 Å, b = 9.203 Å, c = 9.203 Å
α = 87.84°, β = 78.80°, γ = 78.80°
Element x y z (fractional)
Sm 0.000 0.000 0.000
Th 0.669 0.000 0.662
Th 0.331 0.000 0.338
Th 0.333 0.667 0.667
Th 0.669 0.662 0.000
Th 0.000 0.667 0.333
Th 0.331 0.338 0.000
Th 0.667 0.333 0.333
Th 0.000 0.333 0.667